Record 1
Material: LaMg3In
Method: DFT, PBE
State: optimized geometry

The value obtained for the excess energy over the best structure of this formula in the dataset is 0 meV per atom. The value obtained for the formation enthalpy at 0 K is 0.218 eV per atom. For the density of states at the Fermi level, the calculation gives 7.022 states/eV/f.u.

abc: 5.348 5.348 5.348
angles: 90.00 90.00 90.00
Space group Pm-3m (No. 221)
Inequivalent atoms, fractional coordinates:
1 La 0.000 0.000 0.000 (multiplicity 1)
2 Mg 0.000 0.500 0.500 (multiplicity 3)
3 In 0.500 0.500 0.500 (multiplicity 1)

Record 2
Material: TbYH2
Method: DFT, PBE
State: optimized geometry

The value obtained for the excess energy over the best structure of this formula in the dataset is 228 meV per atom. For the density of states at the Fermi level, the calculation gives 1.521 states/eV/f.u.

abc: 3.5076 3.5076 17.6357
angles: 90.00 90.00 120.00
Space group R3m (No. 160, hexagonal axes)
Inequivalent atoms, fractional coordinates:
1 Tb 0.0000 0.0000 0.0000 (multiplicity 3)
2 Y 0.0000 0.0000 0.8201 (multiplicity 3)
3 H 0.0000 0.0000 0.2317 (multiplicity 3)
4 H 0.0000 0.0000 0.4134 (multiplicity 3)

Record 3
Material: CuSb
Method: DFT, PBE
State: optimized geometry

The value obtained for the uncorrected formation energy is 40 kJ/mol of formula units. For the density of states at the Fermi level, the calculation gives 0.823 states/eV/f.u.

abc: 3.923 3.719 5.619
angles: 90.00 90.00 90.00
Space group Pmma (No. 51)
Inequivalent atoms, fractional coordinates:
1 Cu 0.250 0.000 0.137 (multiplicity 2)
2 Sb 0.250 0.500 0.738 (multiplicity 2)

Record 4
Material: CaTbAgSn
Method: DFT, PBE
State: optimized geometry

The value obtained for the formation enthalpy at 0 K is -0.541 eV per atom. For the density of states at the Fermi level, the calculation gives 1.829 states/eV/f.u.

abc: 7.475 7.475 7.475
angles: 90.00 90.00 90.00
Space group F-43m (No. 216)
Inequivalent atoms, fractional coordinates:
1 Ca 0.000 0.000 0.000 (multiplicity 4)
2 Tb 0.000 0.000 0.500 (multiplicity 4)
3 Ag 0.250 0.250 0.750 (multiplicity 4)
4 Sn 0.250 0.250 0.250 (multiplicity 4)